# 1
# Tm2Ga3SiNi4 | the Alexandria database | PBE-GGA | optimized geometry
# Fermi-level density of states in states/eV/atom: 0.517
# Energy in eV per cell: -52.71
# Density in g cm⁻³: 8.6
# Total moment in μB/f.u.: 0.00
data_Tm2Ga3SiNi4
_symmetry_space_group_name_H-M 'P -4 m 2'
_symmetry_Int_Tables_number 115
_symmetry_space_group_name_Hall 'P -4 -2'
_cell_length_a 3.9345
_cell_length_b 3.9345
_cell_length_c 10.1437
_cell_angle_alpha 90.00
_cell_angle_beta 90.00
_cell_angle_gamma 90.00
loop_
_atom_site_label
_atom_site_fract_x
_atom_site_fract_y
_atom_site_fract_z
Tm1 0.0000 0.5000 0.2389
Ga1 0.0000 0.0000 0.0000
Ga2 0.0000 0.5000 0.6358
Si1 0.5000 0.5000 0.0000
Ni1 0.0000 0.0000 0.5000
Ni2 0.0000 0.5000 0.8699
Ni3 0.5000 0.5000 0.5000



# 2
# UGaSi2Ni2 | the Alexandria database | PBE-GGA | optimized geometry
# Fermi-level density of states in states/eV/atom: 1.579
# Energy in eV per cell: -39.11
# Density in g cm⁻³: 8.8
# Total moment in μB/f.u.: 2.19
data_UGaSi2Ni2
_symmetry_space_group_name_H-M 'P -3 m 1'
_symmetry_Int_Tables_number 164
_symmetry_space_group_name_Hall '-P 3 2"'
_cell_length_a 3.9828
_cell_length_b 3.9828
_cell_length_c 6.6164
_cell_angle_alpha 90.00
_cell_angle_beta 90.00
_cell_angle_gamma 120.00
loop_
_atom_site_label
_atom_site_fract_x
_atom_site_fract_y
_atom_site_fract_z
U1 0.0000 0.0000 0.0000
Ga1 0.0000 0.0000 0.5000
Si1 0.3333 0.6667 0.2658
Ni1 0.3333 0.6667 0.6498



# 3
# GaSiNi2W | the Alexandria database | PBE-GGA | optimized geometry
# Fermi-level density of states in states/eV/atom: 1.304
# Energy in eV per cell: -27.19
# Density in g cm⁻³: 6.6
# Total moment in μB/f.u.: 0.00
data_GaSiNi2W
_symmetry_space_group_name_H-M 'P 4/m m m'
_symmetry_Int_Tables_number 123
_symmetry_space_group_name_Hall '-P 4 2'
_cell_length_a 4.5921
_cell_length_b 4.5921
_cell_length_c 4.7619
_cell_angle_alpha 90.00
_cell_angle_beta 90.00
_cell_angle_gamma 90.00
loop_
_atom_site_label
_atom_site_fract_x
_atom_site_fract_y
_atom_site_fract_z
Ga1 0.0000 0.0000 0.0000
Si1 0.5000 0.5000 0.0000
Ni1 0.0000 0.5000 0.5000
W1 0.5000 0.5000 0.5000